An optimized crystal structure of VSn3Te, computed with GGA-PBE.

* final energy: -4.60 eV/atom
* ΔE_f (raw): 1.273 eV per formula unit
* space group: Pm-3m, No. 221

a b c (Å): 5.2457 5.2457 5.2457
angles (deg): 90.00 90.00 90.00
Last column: magnetic moment on the atom in μB.
Atoms (fractional coordinates):
Te  0.5000  0.5000  0.5000  0.30
Sn  0.0000  0.5000  0.0000  0.02
Sn  0.0000  0.0000  0.5000  0.02
Sn  0.5000  0.0000  0.0000  0.02
V  0.0000  0.0000  0.0000  1.45

---

An optimized crystal structure of Sm2CdOsC, computed with GGA-PBE.

* final energy: -6.48 eV/atom
* formation energy from the elements: -7.26 kcal/mol of atoms
* space group: P4/mmm, No. 123

a b c (Å): 3.9356 5.1847 5.1847
angles (deg): 90.00 90.00 90.00
Atoms (fractional coordinates):
Sm  0.0000  0.0000  0.5000
Sm  0.0000  0.5000  0.0000
Cd  0.5000  0.5000  0.5000
Os  0.5000  0.0000  0.0000
C  0.0000  0.0000  0.0000

---

An optimized crystal structure of Re3Sb, computed with GGA-PBE.

* final energy: -6.55 eV/atom
* ΔE_f (raw): 15.266 eV per formula unit
* space group: Pm-3m, No. 221

a b c (Å): 4.8946 4.8946 4.8946
angles (deg): 90.00 90.00 90.00
Atoms (fractional coordinates):
Re  0.5000  0.0000  0.0000
Re  0.0000  0.5000  0.0000
Re  0.0000  0.0000  0.5000
Sb  0.0000  0.0000  0.0000

---

An optimized crystal structure of Zr2CI, computed with GGA-PBE.

* final energy: -7.00 eV/atom
* ΔE_f (raw): -0.144 eV per formula unit
* space group: I-42d, No. 122

a b c (Å): 5.8663 5.8663 6.9295
angles (deg): 64.96 64.96 90.00
Atoms (fractional coordinates):
I  0.0000  0.0000  0.0000
I  0.7500  0.2500  0.5000
C  0.5000  0.5000  0.0000
C  0.2500  0.7500  0.5000
Zr  0.5173  0.1250  0.2500
Zr  0.2327  0.6250  0.2500
Zr  0.3750  0.4827  0.7500
Zr  0.8750  0.7673  0.7500

---

An optimized crystal structure of Sm4IrPd2, computed with GGA-PBE.

* final energy: -6.09 eV/atom
* formation energy from the elements: -14.83 kcal/mol of atoms
* space group: R-3m, No. 166

a b c (Å): 4.9920 4.9920 8.7306
angles (deg): 73.39 73.39 60.00
Atoms (fractional coordinates):
Sm  0.8780  0.8780  0.3660
Sm  0.1220  0.1220  0.6340
Sm  0.6273  0.6273  0.1180
Sm  0.3727  0.3727  0.8820
Ir  0.0000  0.0000  0.0000
Pd  0.7526  0.7526  0.7421
Pd  0.2474  0.2474  0.2579

---

An optimized crystal structure of CsK2CdBr5, computed with GGA-PBE.

* final energy: -2.83 eV/atom
* ΔE_f (raw): -13.159 eV per formula unit
* space group: I4/mcm, No. 140

a b c (Å): 9.2887 9.2887 10.2617
angles (deg): 116.91 116.91 90.00
Last column: magnetic moment on the atom in μB.
Atoms (fractional coordinates):
Cs  0.2500  0.2500  0.5000  0.00
Cs  0.7500  0.7500  0.5000  0.00
K  0.1617  0.3383  0.0000  0.00
K  0.6617  0.1617  0.0000  0.00
K  0.3383  0.8383  0.0000  0.00
K  0.8383  0.6617  0.0000  0.00
Cd  0.2500  0.7500  0.5000  0.00
Cd  0.7500  0.2500  0.5000  0.00
Br  0.9904  0.4904  0.2828  0.00
Br  0.7076  0.2076  0.7172  0.00
Br  0.0096  0.5096  0.7172  0.00
Br  0.2076  0.0096  0.7172  0.00
Br  0.5096  0.7076  0.7172  0.00
Br  0.7924  0.9904  0.2828  0.00
Br  0.4904  0.2924  0.2828  0.00
Br  0.2924  0.7924  0.2828  0.00
Br  0.5000  0.5000  0.0000  0.09
Br  0.0000  0.0000  0.0000  0.09

---

An optimized crystal structure of Li2RhAu, computed with GGA-PBE.

* final energy: -3.90 eV/atom
* formation energy from the elements: -6.70 kcal/mol of atoms
* space group: C2/m, No. 12

a b c (Å): 4.5682 4.5682 4.8146
angles (deg): 79.27 79.27 36.05
Atoms (fractional coordinates):
Rh  0.7500  0.7500  0.7500
Au  0.2500  0.2500  0.2500
Li  0.0019  0.0019  0.9833
Li  0.4981  0.4981  0.5167

---

An optimized crystal structure of SrY2Tl2Ag2, computed with GGA-PBE.

* final energy: -3.80 eV/atom
* formation energy from the elements: -5.07 kcal/mol of atoms
* space group: R-3m, No. 166

a b c (Å): 4.9745 4.9745 9.8879
angles (deg): 75.43 75.43 60.00
Atoms (fractional coordinates):
Sr  0.0000  0.0000  0.0000
Y  0.1276  0.1276  0.6171
Y  0.8724  0.8724  0.3829
Tl  0.7500  0.7500  0.7499
Tl  0.2500  0.2500  0.2501
Ag  0.5852  0.5852  0.2444
Ag  0.4148  0.4148  0.7556

---

An optimized crystal structure of Sb2TeAu, computed with GGA-PBE.

* final energy: -3.48 eV/atom
* ΔE_f (raw): 0.755 eV per formula unit
* space group: P4/mmm, No. 123

a b c (Å): 3.8303 3.8303 6.9671
angles (deg): 90.00 90.00 90.00
Atoms (fractional coordinates):
Au  0.5000  0.5000  0.7500
Sb  0.0000  0.0000  0.9648
Sb  0.0000  0.0000  0.5352
Te  0.5000  0.5000  0.2500

---

An optimized crystal structure of BeOsAu2, computed with GGA-PBE.

* final energy: -4.95 eV/atom
* formation energy from the elements: 9.84 kcal/mol of atoms
* space group: Cmmm, No. 65

a b c (Å): 2.7650 2.7650 8.8892
angles (deg): 90.00 90.00 117.80
Atoms (fractional coordinates):
Os  0.5000  0.5000  0.7500
Au  0.0000  0.0000  0.0347
Au  0.0000  0.0000  0.4653
Be  0.5000  0.5000  0.2500

---

An optimized crystal structure of TiNiSeBr2, computed with GGA-PBE.

* final energy: -4.04 eV/atom
* ΔE_f (raw): 0.290 eV per formula unit
* space group: P4/mmm, No. 123

a b c (Å): 5.1196 5.1196 4.9421
angles (deg): 90.00 90.00 90.00
Last column: magnetic moment on the atom in μB.
Atoms (fractional coordinates):
Ni  0.5000  0.5000  0.5000  0.92
Se  0.0000  0.0000  0.5000  -0.05
Br  0.0000  0.5000  0.0000  0.00
Br  0.5000  0.0000  0.0000  0.00
Ti  0.0000  0.0000  0.0000  0.58

---

An optimized crystal structure of Pa2Zn3Cu4, computed with GGA-PBE.

* final energy: -4.38 eV/atom
* formation energy from the elements: -0.63 kcal/mol of atoms
* space group: Fmmm, No. 69

a b c (Å): 5.0383 5.0977 7.1821
angles (deg): 80.02 69.47 60.38
Atoms (fractional coordinates):
Pa  0.6367  0.0000  0.7266
Pa  0.3633  0.0000  0.2734
Zn  0.0000  0.5000  0.0000
Zn  0.0000  0.0000  0.0000
Zn  0.5000  0.5000  0.0000
Cu  0.9933  0.6677  0.3457
Cu  0.6610  0.3323  0.3457
Cu  0.0067  0.3323  0.6543
Cu  0.3390  0.6677  0.6543